1.
## Mg3BiB (PBE)

Data for a relaxed structure of Mg3BiB.

Values from the calculation:
* theoretical density: 4.75 g/cm³
* electronic total energy: -2.948 eV per atom

Lattice parameters (Å, degrees): 4.676 4.676 4.676 90.00 90.00 90.00
Space group Pm-3m (No. 221)
Symmetry-distinct sites (fractional):
Mg1 0.000 0.000 0.500 (multiplicity 3)
Bi1 0.500 0.500 0.500 (multiplicity 1)
B1 0.000 0.000 0.000 (multiplicity 1)

=====

2.
## MgBiB2 (PBE)

Data for a relaxed structure of MgBiB2.

Values from the calculation:
* theoretical density: 6.48 g/cm³
* ΔE to the lowest computed polymorph: 95 meV/atom
* electronic total energy: -3.379 eV per atom

Lattice parameters (Å, degrees): 6.392 6.392 6.392 90.00 90.00 90.00
Space group Fm-3m (No. 225)
Symmetry-distinct sites (fractional):
Mg1 0.000 0.000 0.000 (multiplicity 4)
Bi1 0.000 0.000 0.500 (multiplicity 4)
B1 0.250 0.250 0.250 (multiplicity 8)

=====

3.
## Mg2BiB (PBE)

Data for a relaxed structure of Mg2BiB.

Values from the calculation:
* theoretical density: 5.46 g/cm³
* ΔE to the lowest computed polymorph: 164 meV/atom
* electronic total energy: -2.752 eV per atom

Lattice parameters (Å, degrees): 6.886 6.886 6.886 90.00 90.00 90.00
Space group Fm-3m (No. 225)
Symmetry-distinct sites (fractional):
Mg1 0.250 0.250 0.250 (multiplicity 8)
Bi1 0.000 0.000 0.000 (multiplicity 4)
B1 0.000 0.000 0.500 (multiplicity 4)

=====

4.
## MgBi2B (PBE)

Data for a relaxed structure of MgBi2B.

Values from the calculation:
* theoretical density: 8.05 g/cm³
* ΔE to the lowest computed polymorph: 357 meV/atom
* electronic total energy: -3.145 eV per atom

Lattice parameters (Å, degrees): 7.204 7.204 7.204 90.00 90.00 90.00
Space group Fm-3m (No. 225)
Symmetry-distinct sites (fractional):
Mg1 0.000 0.000 0.000 (multiplicity 4)
Bi1 0.250 0.250 0.250 (multiplicity 8)
B1 0.000 0.000 0.500 (multiplicity 4)

=====

5.
## Mg2BiB (PBE)

Data for a relaxed structure of Mg2BiB.

Values from the calculation:
* theoretical density: 5.20 g/cm³
* ΔE to the lowest computed polymorph: 0 meV/atom
* electronic total energy: -2.916 eV per atom

Lattice parameters (Å, degrees): 7.968 7.968 5.399 90.00 90.00 90.00
Space group I-42d (No. 122)
Symmetry-distinct sites (fractional):
Mg1 0.138 0.250 0.125 (multiplicity 8)
Bi1 0.000 0.000 0.500 (multiplicity 4)
B1 0.000 0.000 0.000 (multiplicity 4)

=====

6.
## MgBiB3 (PBE)

Data for a relaxed structure of MgBiB3.

Values from the calculation:
* theoretical density: 4.15 g/cm³
* ΔE to the lowest computed polymorph: 273 meV/atom
* electronic total energy: -2.811 eV per atom

Lattice parameters (Å, degrees): 4.736 4.736 4.736 90.00 90.00 90.00
Space group Pm-3m (No. 221)
Symmetry-distinct sites (fractional):
Mg1 0.000 0.000 0.000 (multiplicity 1)
Bi1 0.500 0.500 0.500 (multiplicity 1)
B1 0.000 0.500 0.500 (multiplicity 3)

=====

no.,energy of formation (eV per formula unit)
1,0.60
2,5.32
3,2.74
4,3.45
5,2.08
6,11.45